VRe2Tc | PBE | relaxed

Its energy relative to the lowest polymorph listed for this composition is 0.811 eV per atom. As for the calculated formation energy: 2.931 eV per formula unit.

It has space group I-42d (No. 122), with a = 7.012 Å, b = 7.012 Å, c = 5.144 Å, α = 90.00°, β = 90.00° and γ = 90.00°. The inequivalent atoms are V at (0.000, 0.000, 0.000), Re at (0.248, 0.250, 0.625) and Tc at (0.000, 0.000, 0.500).



ThMgAgGe | PBE | relaxed

As for the calculated formation energy: -1.071 eV per formula unit.

It has space group F-43m (No. 216), with a = 7.134 Å, b = 7.134 Å, c = 7.134 Å, α = 90.00°, β = 90.00° and γ = 90.00°. The inequivalent atoms are Th at (0.000, 0.000, 0.000), Mg at (0.000, 0.000, 0.500), Ag at (0.250, 0.250, 0.250) and Ge at (0.250, 0.250, 0.750).



PuAlSb | PBE | relaxed

Its energy relative to the elements, uncorrected is 44 meV/atom.

It has space group Cmcm (No. 63), with a = 4.990 Å, b = 13.730 Å, c = 3.706 Å, α = 90.00°, β = 90.00° and γ = 90.00°. The inequivalent atoms are Pu at (0.000, 0.054, 0.250), Al at (0.000, 0.242, 0.750) and Sb at (0.000, 0.402, 0.250).



PmHoCdCu | PBE | relaxed

As for the calculated formation energy: -0.840 eV per formula unit.

It has space group F-43m (No. 216), with a = 7.319 Å, b = 7.319 Å, c = 7.319 Å, α = 90.00°, β = 90.00° and γ = 90.00°. The inequivalent atoms are Pm at (0.000, 0.000, 0.000), Ho at (0.000, 0.000, 0.500), Cd at (0.250, 0.250, 0.250) and Cu at (0.250, 0.250, 0.750).



Sc2Cu4Pt3 | PBE | relaxed

As for the calculated formation energy: -5.406 eV per formula unit.

It has space group C2/m (No. 12), with a = 8.881 Å, b = 3.906 Å, c = 8.289 Å, α = 90.00°, β = 110.22° and γ = 90.00°. The inequivalent atoms are Sc at (0.167, 0.000, 0.226), Cu at (0.002, 0.500, 0.665), Cu at (0.168, 0.000, 0.895), Pt at (0.000, 0.500, 0.000) and Pt at (0.163, 0.000, 0.564).



SrGa2Ge2 | PBE | relaxed

As for the calculated formation energy: -0.816 eV per formula unit.

It has space group R-3m (No. 166, hexagonal axes), with a = 4.2235 Å, b = 4.2235 Å, c = 27.2868 Å, α = 90.00°, β = 90.00° and γ = 120.00°. The inequivalent atoms are Sr at (0.0000, 0.0000, 0.0000), Ga at (0.0000, 0.0000, 0.2350) and Ge at (0.0000, 0.0000, 0.4162).



Across the entries above, calculated volume takes the values 253.0; 363.2; 253.9; 392.1; 269.8; 421.5 Å³ per cell, respectively.
Across the entries above, total moment takes the values 0.01; 0.00; 5.40; 0.00; 0.00; 0.00 μB/cell, respectively.
Across the entries above, calculated density takes the values 13.69; 7.99; 10.27; 8.23; 11.44; 4.40 g/cm³, respectively.